# Fe3H4O2F8, relaxed, DFT PBE with a Hubbard U
# Volume: 11.33 A^3/atom
# Raw total energy: -177.5 eV/cell
data_Fe3H4O2F8
_chemical_formula_sum 'Fe6 H8 O4 F16'
_cell_length_a 7.654
_cell_length_b 7.530
_cell_length_c 7.456
_cell_angle_alpha 90.00
_cell_angle_beta 116.28
_cell_angle_gamma 90.00
_space_group_name_H-M_alt 'C 1 2/m 1'
_space_group_IT_number 12
_space_group_name_Hall '-C 2y'
loop_
_atom_site_label
_atom_site_type_symbol
_atom_site_fract_x
_atom_site_fract_y
_atom_site_fract_z
Fe1 Fe 0.000 0.000 0.000
Fe2 Fe 0.250 0.250 0.500
H1 H 0.215 0.395 0.111
O1 O 0.244 0.000 0.939
F1 F 0.000 0.195 0.500
F2 F 0.140 0.205 0.213
F3 F 0.174 0.500 0.441